# Cs8Au3O PBE optimized geometry
# - total DFT energy (no corrections) (eV/atom) = -2.218
# - volume (Å³/cell) = 756.0
# - energy relative to the elements, uncorrected (eV/atom) = -0.417
# - calculated density (g cm⁻³) = 3.67
data_Cs8Au3O
_chemical_formula_sum 'Cs8 Au3 O1'
_symmetry_space_group_name_H-M 'P 1'
_symmetry_Int_Tables_number 1
_symmetry_space_group_name_Hall 'P 1'
_cell_length_a 8.8466
_cell_length_b 8.8466
_cell_length_c 10.1784
_cell_angle_alpha 90.00
_cell_angle_beta 90.00
_cell_angle_gamma 108.38
loop_
_atom_site_label
_atom_site_type_symbol
_atom_site_fract_x
_atom_site_fract_y
_atom_site_fract_z
O1 O 0.5000 0.5000 0.5000
Cs1 Cs 0.2409 0.7591 0.0000
Cs2 Cs 0.7591 0.2409 0.0000
Cs3 Cs 0.7060 0.6999 0.2927
Cs4 Cs 0.6999 0.7060 0.7073
Cs5 Cs 0.7049 0.2951 0.5000
Cs6 Cs 0.2940 0.3001 0.2927
Cs7 Cs 0.3001 0.2940 0.7073
Cs8 Cs 0.2951 0.7049 0.5000
Au1 Au 0.5000 0.5000 0.0000
Au2 Au 0.0000 0.5000 0.2542
Au3 Au 0.5000 0.0000 0.7458